Compound: K5TcO6
Source: OQMD via LeMat-Bulk
Functional: PBE
Structure: relaxed

The structure in POSCAR format:
```
K5TcO6
1.0
1.5125 0.6874 -6.0237
-5.9294 0.7967 1.8034
2.5310 5.0777 2.3355
K O Tc
5 6 1
Direct
0.3334 0.6666 0.0000
0.8315 0.1685 0.5000
0.5000 0.5000 0.5000
0.6666 0.3334 0.0000
0.1685 0.8315 0.5000
0.6832 0.9356 0.8039
0.0644 0.3168 0.1961
0.9356 0.6832 0.8039
0.8151 0.8151 0.1903
0.3168 0.0644 0.1961
0.1849 0.1849 0.8097
0.0000 0.0000 0.0000
```

Results
- Spin magnetization: 0.00 Bohr magnetons per cell
- Volume: 16.26 A^3/atom
- Raw total energy: -5.292 eV per atom

Compound: Hf2AlInCo2Ir2
Source: OQMD via LeMat-Bulk
Functional: PBE
Structure: relaxed

The structure in POSCAR format:
```
Hf2AlInCo2Ir2
1.0
-0.2963 3.0737 3.1912
-2.2389 -2.8638 2.5505
5.4583 -2.0540 2.4852
Co Hf Al Ir In
2 2 1 2 1
Direct
0.5000 0.0000 0.2397
0.0000 0.5000 0.7603
0.5000 0.5000 0.0000
0.0000 0.0000 0.5000
0.0000 0.0000 0.0000
0.5000 0.0000 0.7631
0.0000 0.5000 0.2369
0.5000 0.5000 0.5000
```

Results
- Spin magnetization: 2.01 Bohr magnetons per cell
- Volume: 15.63 A^3/atom
- Raw total energy: -7.918 eV per atom

Compound: NaThAl
Source: OQMD via LeMat-Bulk
Functional: PBE
Structure: relaxed

The structure in POSCAR format:
```
NaThAl
1.0
0.0000 3.5642 3.5642
3.5642 0.0000 3.5642
3.5642 3.5642 0.0000
Th Na Al
1 1 1
Direct
0.7500 0.7500 0.7500
0.2500 0.2500 0.2500
0.0000 0.0000 0.0000
```

Results
- Spin magnetization: 0.00 Bohr magnetons per cell
- Volume: 30.19 A^3/atom
- Raw total energy: -3.760 eV per atom

Compound: YTlFeTe3
Source: OQMD via LeMat-Bulk
Functional: PBE
Structure: relaxed

The structure in POSCAR format:
```
YTlFeTe3
1.0
-8.6621 8.1703 10.8732
-1.0220 -3.6305 1.9138
9.3647 0.9286 6.7626
Te Fe Y Tl
12 4 4 4
Direct
0.6319 0.2500 0.2723
0.8681 0.7500 0.7723
0.1319 0.2500 0.2277
0.0913 0.2500 0.8814
0.5914 0.2500 0.6186
0.9086 0.7500 0.1186
0.4087 0.7500 0.3814
0.1041 0.7500 0.5749
0.3959 0.2500 0.0749
0.6041 0.7500 0.9251
0.3681 0.7500 0.7277
0.8959 0.2500 0.4251
0.0083 0.2500 0.0744
0.5083 0.2500 0.4256
0.4917 0.7500 0.5744
0.9917 0.7500 0.9256
0.5196 0.7500 0.1600
0.0196 0.7500 0.3400
0.9804 0.2500 0.6600
0.4804 0.2500 0.8400
0.2624 0.2500 0.5250
0.7624 0.2500 0.9750
0.7376 0.7500 0.4750
0.2376 0.7500 0.0250
```

Results
- Spin magnetization: 14.61 Bohr magnetons per cell
- Volume: 32.93 A^3/atom
- Distance to the lowest polymorph of the same formula: 0 meV per atom

Compound: NaGdAsO
Source: OQMD via LeMat-Bulk
Functional: PBE
Structure: relaxed

The structure in POSCAR format:
```
NaGdAsO
1.0
3.9236 0.0000 0.0000
0.0000 3.9236 0.0000
0.0000 0.0000 10.4125
Na Gd As O
2 2 2 2
Direct
0.2500 0.7500 0.5000
0.7500 0.2500 0.5000
0.2500 0.2500 0.1085
0.7500 0.7500 0.8915
0.2500 0.2500 0.7094
0.7500 0.7500 0.2906
0.7500 0.2500 0.0000
0.2500 0.7500 0.0000
```

Results
- Spin magnetization: 0.01 Bohr magnetons per cell
- Volume: 20.04 A^3/atom
- Distance to the lowest polymorph of the same formula: 0 meV per atom

Compound: CsReNO
Source: OQMD via LeMat-Bulk
Functional: PBE
Structure: relaxed

The structure in POSCAR format:
```
CsReNO
1.0
-1.7393 2.9131 -2.9972
-1.0403 -3.4459 -2.7456
-6.8971 -0.6238 3.3962
N Cs Re O
2 2 2 2
Direct
0.5000 0.0000 0.2769
0.0000 0.5000 0.7231
0.5000 0.5000 0.5000
0.0000 0.0000 0.5000
0.5000 0.0000 0.0549
0.0000 0.5000 0.9451
0.5000 0.5000 0.0000
0.0000 0.0000 0.0000
```

Results
- Spin magnetization: 2.13 Bohr magnetons per cell
- Volume: 19.76 A^3/atom
- Distance to the lowest polymorph of the same formula: 911 meV per atom

Compound: NdZn2
Source: OQMD via LeMat-Bulk
Functional: PBE
Structure: relaxed

The structure in POSCAR format:
```
NdZn2
1.0
-2.8463 6.8772 -12.3770
-3.0774 -2.0179 -0.4136
-2.4309 3.2253 2.3512
Zn Nd
8 4
Direct
0.4733 0.5000 0.0000
0.8485 0.5000 0.0000
0.0959 0.0000 0.5000
0.3485 0.0000 0.0000
0.5959 0.5000 0.5000
0.9712 0.5000 0.5000
0.9733 0.0000 0.0000
0.4712 0.0000 0.5000
0.1392 0.5000 0.0000
0.8053 0.0000 0.5000
0.6391 0.0000 0.0000
0.3054 0.5000 0.5000
```

Results
- Spin magnetization: 0.00 Bohr magnetons per cell
- Formation energy from the elements: -0.6 eV per formula unit
- Volume: 20.83 A^3/atom

Compound: PrNd2Ni2B2As3
Source: OQMD via LeMat-Bulk
Functional: PBE
Structure: relaxed

The structure in POSCAR format:
```
PrNd2Ni2B2As3
1.0
-2.0747 2.0747 11.1359
2.0747 -2.0747 11.1359
2.0747 2.0747 -11.1359
B Nd As Pr Ni
2 2 3 1 2
Direct
0.2248 0.2248 0.0000
0.7752 0.7752 0.0000
0.3572 0.3572 0.0000
0.6428 0.6428 0.0000
0.5000 0.5000 0.0000
0.8683 0.8683 0.0000
0.1317 0.1317 0.0000
0.0000 0.0000 0.0000
0.2500 0.7500 0.5000
0.7500 0.2500 0.5000
```

Results
- Spin magnetization: 0.01 Bohr magnetons per cell
- Volume: 19.17 A^3/atom
- Raw total energy: -6.038 eV per atom

Compound: NdTm2Mg3ZnIn2
Source: OQMD via LeMat-Bulk
Functional: PBE
Structure: relaxed

The structure in POSCAR format:
```
NdTm2Mg3ZnIn2
1.0
-2.9605 -0.9318 3.3932
4.5947 -5.3900 2.5286
0.5814 7.0854 2.4530
Nd Mg Tm Zn In
1 3 2 1 2
Direct
0.0000 0.4166 0.4166
0.5000 0.7623 0.7623
0.5000 0.2344 0.9993
0.5000 0.9993 0.2344
0.0000 0.5886 0.0032
0.0000 0.0032 0.5886
0.0000 0.9889 0.9889
0.5000 0.3328 0.6738
0.5000 0.6738 0.3328
```

Results
- Spin magnetization: 0.01 Bohr magnetons per cell
- Volume: 24.71 A^3/atom
- Raw total energy: -3.137 eV per atom

Compound: Tm2Se3
Source: OQMD via LeMat-Bulk
Functional: PBE
Structure: relaxed

The structure in POSCAR format:
```
Tm2Se3
1.0
-3.2593 -3.5305 12.4380
-8.2560 0.4781 9.6750
-2.2177 -6.6131 0.1332
Se Tm
12 8
Direct
0.7438 0.2562 0.2562
0.3407 0.8221 0.1634
0.0866 0.5762 0.9093
0.4279 0.9093 0.5762
0.9938 0.5062 0.5062
0.1634 0.6738 0.3407
0.8221 0.3407 0.6738
0.5062 0.9938 0.9938
0.5762 0.0866 0.4279
0.2562 0.7438 0.7438
0.6738 0.1634 0.8221
0.9093 0.4279 0.0866
0.2474 0.2474 0.7526
0.0026 0.0026 0.4974
0.6663 0.6663 0.8337
0.8337 0.8337 0.6663
0.5837 0.5837 0.4163
0.7526 0.7526 0.2474
0.4163 0.4163 0.5837
0.4974 0.4974 0.0026
```

Results
- Spin magnetization: 0.00 Bohr magnetons per cell
- Volume: 27.77 A^3/atom
- Raw total energy: -5.756 eV per atom

Compound: YZrSn
Source: OQMD via LeMat-Bulk
Functional: PBE
Structure: relaxed

The structure in POSCAR format:
```
YZrSn
1.0
4.2057 -1.8789 1.8168
3.0344 2.8549 2.6759
0.4685 -0.7678 4.8692
Zr Y Sn
1 1 1
Direct
0.7500 0.7500 0.7500
0.2500 0.2500 0.2500
0.0000 0.0000 0.0000
```

Results
- Spin magnetization: 0.31 Bohr magnetons per cell
- Volume: 28.62 A^3/atom
- Raw total energy: -6.516 eV per atom

Compound: Pr12Fe2I17
Source: OQMD via LeMat-Bulk
Functional: PBE
Structure: relaxed

The structure in POSCAR format:
```
Pr12Fe2I17
1.0
10.0345 0.0000 0.0000
-4.9768 10.9906 0.0000
-3.0838 -2.1894 11.5219
Fe Pr I
2 12 17
Direct
0.8958 0.2616 0.2144
0.1042 0.7384 0.7856
0.7411 0.0146 0.1086
0.2232 0.6708 0.9873
0.3503 0.7590 0.7173
0.9905 0.8106 0.5839
0.1465 0.2869 0.1525
0.7768 0.3292 0.0127
0.0569 0.5095 0.3223
0.9431 0.4905 0.6777
0.6497 0.2410 0.2827
0.0095 0.1894 0.4161
0.2589 0.9854 0.8914
0.8535 0.7131 0.8475
0.9448 0.6327 0.1031
0.3587 0.5810 0.2408
0.5884 0.0526 0.8431
0.5497 0.7075 0.9531
0.4503 0.2925 0.0469
0.7838 0.5288 0.4176
0.8429 0.8943 0.3245
0.7546 0.1832 0.5378
0.0000 0.0000 0.0000
0.4116 0.9474 0.1569
0.6738 0.7879 0.6303
0.3262 0.2121 0.3697
0.2454 0.8168 0.4622
0.6413 0.4190 0.7592
0.2162 0.4712 0.5824
0.1571 0.1057 0.6755
0.0552 0.3673 0.8969
```

Results
- Spin magnetization: 0.99 Bohr magnetons per cell
- Volume: 40.99 A^3/atom
- Raw total energy: -4.362 eV per atom

Compound: BaGdGe
Source: OQMD via LeMat-Bulk
Functional: PBE
Structure: relaxed

The structure in POSCAR format:
```
BaGdGe
1.0
-4.8755 -0.7248 0.0194
2.5741 -0.4422 4.1803
-2.8709 19.4135 3.8214
Ba Ge Gd
4 4 4
Direct
0.0000 0.0000 0.2500
0.0000 0.0000 0.7500
0.0000 0.0000 0.0000
0.0000 0.0000 0.5000
0.3333 0.6667 0.6149
0.3333 0.6667 0.8851
0.6667 0.3333 0.3851
0.6667 0.3333 0.1149
0.3333 0.6667 0.1409
0.3333 0.6667 0.3591
0.6667 0.3333 0.6409
0.6667 0.3333 0.8591
```

Results
- Spin magnetization: 0.00 Bohr magnetons per cell
- Volume: 35.06 A^3/atom
- Distance to the lowest polymorph of the same formula: 0 meV per atom

Compound: Nb2ZnGe
Source: OQMD via LeMat-Bulk
Functional: PBE
Structure: relaxed

The structure in POSCAR format:
```
Nb2ZnGe
1.0
-4.1528 -0.0162 -1.8977
-3.2380 2.8107 1.5691
-1.3674 3.5459 -2.5306
Nb Zn Ge
2 1 1
Direct
0.0000 0.0000 0.0000
0.7500 0.7500 0.7500
0.2500 0.2500 0.2500
0.5000 0.5000 0.5000
```

Results
- Spin magnetization: 0.01 Bohr magnetons per cell
- Volume: 16.83 A^3/atom
- Raw total energy: -6.292 eV per atom

Compound: LiHfAlCo
Source: OQMD via LeMat-Bulk
Functional: PBE
Structure: relaxed

The structure in POSCAR format:
```
LiHfAlCo
1.0
0.0000 3.0762 3.0762
3.0762 0.0000 3.0762
3.0762 3.0762 0.0000
Co Li Al Hf
1 1 1 1
Direct
0.7500 0.7500 0.7500
0.5000 0.5000 0.5000
0.0000 0.0000 0.0000
0.2500 0.2500 0.2500
```

Results
- Spin magnetization: 0.03 Bohr magnetons per cell
- Volume: 14.56 A^3/atom
- Distance to the lowest polymorph of the same formula: 357 meV per atom

Compound: Cs2InHgBr6
Source: OQMD via LeMat-Bulk
Functional: PBE
Structure: relaxed

The structure in POSCAR format:
```
Cs2InHgBr6
1.0
3.9860 2.3013 6.6535
-3.9860 2.3013 6.6535
0.0000 -4.6026 6.6535
Hg Br Cs In
1 6 2 1
Direct
0.4996 0.4996 0.4996
0.7544 0.2254 0.2584
0.7409 0.2457 0.7743
0.7743 0.7409 0.2457
0.2254 0.2584 0.7544
0.2457 0.7743 0.7409
0.2584 0.7544 0.2254
0.2484 0.2484 0.2484
0.7510 0.7510 0.7510
0.9997 0.9997 0.9997
```

Results
- Volume: 36.62 A^3/atom
- Raw total energy: -2.602 eV per atom

Compound: AcIr
Source: OQMD via LeMat-Bulk
Functional: PBE
Structure: relaxed

The structure in POSCAR format:
```
AcIr
1.0
3.8397 0.0000 0.0000
-1.9198 3.3252 0.0000
0.0000 0.0000 3.9567
Ac Ir
1 1
Direct
0.6667 0.3333 0.7500
0.3333 0.6667 0.2500
```

Results
- Spin magnetization: 0.00 Bohr magnetons per cell
- Formation energy from the elements: -0.2 eV per formula unit
- Volume: 25.26 A^3/atom

Compound: PrMoW
Source: OQMD via LeMat-Bulk
Functional: PBE
Structure: relaxed

The structure in POSCAR format:
```
PrMoW
1.0
0.0000 3.2624 3.2624
3.2624 0.0000 3.2624
3.2624 3.2624 0.0000
Mo Pr W
1 1 1
Direct
0.2500 0.2500 0.2500
0.7500 0.7500 0.7500
0.0000 0.0000 0.0000
```

Results
- Spin magnetization: 0.12 Bohr magnetons per cell
- Formation energy from the elements: 3.1 eV per formula unit
- Volume: 23.15 A^3/atom

Compound: Er4InC2Se
Source: OQMD via LeMat-Bulk
Functional: PBE
Structure: relaxed

The structure in POSCAR format:
```
Er4InC2Se
1.0
3.6500 0.0000 0.0000
-1.8250 3.1610 0.0000
0.0000 0.0000 14.6476
Er In C Se
4 1 2 1
Direct
0.0000 0.0000 0.6360
0.6667 0.3333 0.1836
0.0000 0.0000 0.3640
0.6667 0.3333 0.8164
0.0000 0.0000 0.0000
0.3333 0.6667 0.2726
0.3333 0.6667 0.7274
0.6667 0.3333 0.5000
```

Results
- Spin magnetization: 0.13 Bohr magnetons per cell
- Volume: 21.13 A^3/atom
- Raw total energy: -6.154 eV per atom

Compound: Li2InPd
Source: OQMD via LeMat-Bulk
Functional: PBE
Structure: relaxed

The structure in POSCAR format:
```
Li2InPd
1.0
-1.9720 0.4030 -4.0215
-1.3038 -4.2988 0.2086
-5.4214 1.7819 2.8371
Pd In Li
2 2 4
Direct
0.5000 0.0000 0.7507
0.0000 0.5000 0.2493
0.5000 0.5000 0.5000
0.0000 0.0000 0.0000
0.5000 0.5000 0.0000
0.0000 0.5000 0.7500
0.0000 0.0000 0.5000
0.5000 0.0000 0.2500
```

Results
- Volume: 16.11 A^3/atom
- Raw total energy: -3.427 eV per atom